A plane-wave DFT calculation with PBE was carried out for a relaxed Mn2PtRh2 crystal.

```
data_Mn2PtRh2
_chemical_formula_sum 'Mn4 Pt2 Rh4'
_space_group_name_H-M_alt 'P 4/m b m'
_space_group_IT_number 127
_space_group_name_Hall '-P 4 2ab'
_cell_length_a 7.050
_cell_length_b 7.050
_cell_length_c 2.704
_cell_angle_alpha 90.00
_cell_angle_beta 90.00
_cell_angle_gamma 90.00
loop_
_atom_site_label
_atom_site_type_symbol
_atom_site_fract_x
_atom_site_fract_y
_atom_site_fract_z
_atom_site_occupancy
Mn1 Mn 0.117 0.383 0.000 1
Pt1 Pt 0.000 0.000 0.000 1
Rh1 Rh 0.174 0.674 0.500 1
```

Values from the calculation:
Total magnetization = 0.0 Bohr magnetons per cell
Final energy = -7.718 eV/atom
ΔH_f (0 K) = 9.5 kJ/mol of atoms
Volume = 134 Å³ per cell